Record 1
A plane-wave DFT calculation with PBE-GGA was carried out for a geometry-optimized KDyTe3Au structure.

Structure (POSCAR):
```
KDyTe3Au
1.0
16.644 0.000 0.000
0.000 4.306 0.000
0.000 0.000 11.491
K Dy Te Au
4 4 12 4
direct
0.232 0.250 0.046 K
0.268 0.750 0.546 K
0.732 0.250 0.454 K
0.768 0.750 0.954 K
0.019 0.250 0.337 Dy
0.481 0.750 0.837 Dy
0.519 0.250 0.163 Dy
0.981 0.750 0.663 Dy
0.093 0.750 0.880 Te
0.101 0.250 0.577 Te
0.140 0.750 0.258 Te
0.360 0.250 0.758 Te
0.399 0.750 0.077 Te
0.407 0.250 0.380 Te
0.593 0.750 0.620 Te
0.601 0.250 0.923 Te
0.640 0.750 0.242 Te
0.860 0.250 0.742 Te
0.899 0.750 0.423 Te
0.907 0.250 0.120 Te
0.014 0.750 0.104 Au
0.486 0.250 0.604 Au
0.514 0.750 0.396 Au
0.986 0.250 0.896 Au
```

Total DFT energy (no corrections) = -95.30 eV for the cell shown
Total magnetization = 0.000 μB per atom

Record 2
A plane-wave DFT calculation with PBE-GGA was carried out for a geometry-optimized La2DyMg3Pt2Au structure.

Structure (POSCAR):
```
La2DyMg3Pt2Au
1.0
4.138 0.000 0.000
0.000 6.604 3.806
0.000 -6.604 3.806
La Dy Mg Pt Au
2 1 3 2 1
direct
0.000 0.210 0.790 La
0.000 0.790 0.210 La
0.000 0.625 0.625 Dy
0.500 0.216 0.456 Mg
0.500 0.456 0.216 Mg
0.500 0.960 0.960 Mg
0.500 0.545 0.868 Pt
0.500 0.868 0.545 Pt
0.000 0.217 0.217 Au
```

Total DFT energy (no corrections) = -42.11 eV for the cell shown
Total magnetization = 0.002 μB per atom